Compound: Li2PtRh
Source: the Alexandria database
Functional: GGA-PBE
Structure: optimized geometry

Properties
Energy above the most stable polymorph in this dataset   0.0500 eV/atom
Formation energy from the elements   -0.365 eV/atom
Final energy   -4.670 eV per atom
Volume   13.9 A^3/atom

a = 2.7985 Å, b = 4.5831 Å, c = 8.6386 Å
α = 90.00°, β = 90.00°, γ = 90.00°
Space group Cmmm (No. 65)
One atom of each set of equivalent atoms:
Li 0.0000 0.0000 0.2473 [4 per cell]
Pt 0.0000 0.5000 0.5000 [2 per cell]
Rh 0.0000 0.5000 0.0000 [2 per cell]


Compound: Li2PtRh
Source: the Alexandria database
Functional: GGA-PBE
Structure: optimized geometry

Properties
Energy above the most stable polymorph in this dataset   0.3170 eV/atom
Formation energy from the elements   -0.098 eV/atom
Final energy   -4.403 eV per atom
Volume   15.1 A^3/atom

a = 2.8067 Å, b = 4.5942 Å, c = 9.3623 Å
α = 90.00°, β = 90.00°, γ = 90.00°
Space group Cmm2 (No. 35)
One atom of each set of equivalent atoms:
Li 0.0000 0.0000 0.0000 [2 per cell]
Li 0.0000 0.5000 0.2891 [2 per cell]
Pt 0.0000 0.0000 0.5120 [2 per cell]
Rh 0.0000 0.5000 0.7771 [2 per cell]


Which of these has the lowest final energy? number 1


What is the final energy in the first record? -4.670 eV per atom


What is the energy above the most stable polymorph in this dataset in the first record? 0.0500 eV/atom